## HfCuTcMo (PBE)

Data for crystalline HfCuTcMo at its relaxed geometry.

* space group: F-43m, No. 216
* relative energy among the computed polymorphs: 33 meV per atom
* E_form: -0.014 eV per formula unit

Cell lengths 4.4583, 4.4583, 4.4583 Å; angles 60.00, 60.00, 60.00 degrees
Closest atoms and distances in Å follow each position.
Sites, in units of the cell vectors:
Hf  0.0000  0.0000  0.0000  4 Mo 2.73, 4 Cu 2.73
Cu  0.2500  0.2500  0.2500  4 Hf 2.73, 4 Tc 2.73
Tc  0.5000  0.5000  0.5000  4 Mo 2.73, 4 Cu 2.73
Mo  0.7500  0.7500  0.7500  4 Hf 2.73, 4 Tc 2.73

=====

## HfTlCuMo (PBE)

Data for crystalline HfTlCuMo at its relaxed geometry.

* space group: F-43m, No. 216
* relative energy among the computed polymorphs: 0 meV per atom

Cell lengths 4.6877, 4.6877, 4.6877 Å; angles 60.00, 60.00, 60.00 degrees
Closest atoms and distances in Å follow each position.
Sites, in units of the cell vectors:
Hf  0.0000  0.0000  0.0000  4 Cu 2.87, 4 Mo 2.87
Tl  0.5000  0.5000  0.5000  4 Mo 2.87, 4 Cu 2.87
Cu  0.7500  0.7500  0.7500  4 Tl 2.87, 4 Hf 2.87
Mo  0.2500  0.2500  0.2500  4 Tl 2.87, 4 Hf 2.87

=====

## HfCu3N (PBE)

Data for crystalline HfCu3N at its relaxed geometry.

* space group: Pm-3m, No. 221
* total DFT energy (no corrections): -27.0 eV for the cell shown

Cell lengths 4.0392, 4.0392, 4.0392 Å; angles 90.00, 90.00, 90.00 degrees
Closest atoms and distances in Å follow each position.
Sites, in units of the cell vectors:
Hf  0.0000  0.0000  0.0000  12 Cu 2.86
Cu  0.0000  0.5000  0.5000  2 N 2.02
Cu  0.5000  0.0000  0.5000  2 N 2.02
Cu  0.5000  0.5000  0.0000  2 N 2.02
N  0.5000  0.5000  0.5000  6 Cu 2.02

=====

## Hf2CuN (PBE)

Data for crystalline Hf2CuN at its relaxed geometry.

* space group: P6_3/mmc, No. 194
* total DFT energy (no corrections): -70.7 eV for the cell shown

Cell lengths 3.2020, 3.2020, 13.4870 Å; angles 90.00, 90.00, 120.00 degrees
Closest atoms and distances in Å follow each position.
Sites, in units of the cell vectors:
Hf  0.3333  0.6667  0.0944  3 N 2.24
Hf  0.3333  0.6667  0.4056  3 N 2.24
Hf  0.6667  0.3333  0.5944  3 N 2.24
Hf  0.6667  0.3333  0.9056  3 N 2.24
Cu  0.3333  0.6667  0.7500  6 Hf 2.80
Cu  0.6667  0.3333  0.2500  6 Hf 2.80
N  0.0000  0.0000  0.0000  6 Hf 2.24
N  0.0000  0.0000  0.5000  6 Hf 2.24